HfTe2IN | meta-GGA SCAN | PBEsol geometry

For the magnetic moment, the calculation gives 0.003 μB per atom. For the density of states at the Fermi level, the calculation gives 0.60 states/eV/atom. The value obtained for the total energy is -35.316 eV per atom.

Cell and atoms, written as POSCAR:
```
HfTe2IN
1.0
-1.221 1.239 -3.448
3.218 -3.984 -2.571
-4.382 -3.686 0.227
I Te Hf N
1 2 1 1
Cartesian
0.000 0.000 0.000
-2.191 -1.843 0.114
1.609 -1.992 -1.286
-1.192 -3.216 -2.896
-0.610 0.619 -1.724
```

HfTiI2N | meta-GGA SCAN | PBEsol geometry

For the magnetic moment, the calculation gives 0.597 μB per atom. For the density of states at the Fermi level, the calculation gives 0.64 states/eV/atom. The value obtained for the total energy is -32.273 eV per atom.

Cell and atoms, written as POSCAR:
```
HfTiI2N
1.0
3.919 0.000 0.000
0.000 5.720 0.000
0.000 0.000 5.720
I N Hf Ti
2 1 1 1
Cartesian
0.000 0.000 2.860
0.000 2.860 0.000
1.960 0.000 0.000
0.000 0.000 0.000
1.960 2.860 2.860
```

HfTlIN2 | meta-GGA SCAN | PBEsol geometry

For the magnetic moment, the calculation gives 0.012 μB per atom. For the density of states at the Fermi level, the calculation gives 0.53 states/eV/atom. The value obtained for the total energy is -36.115 eV per atom.

Cell and atoms, written as POSCAR:
```
HfTlIN2
1.0
4.265 0.000 0.000
0.000 4.265 0.000
0.000 0.000 5.661
I Tl Hf N
1 1 1 2
Cartesian
0.000 0.000 2.831
0.000 0.000 0.000
2.133 2.133 2.831
0.000 2.133 0.000
2.133 0.000 0.000
```